Entry 1:
First-principles (PBE-GGA) data for an optimized crystal structure of Mo2AsW, as listed in Alexandria via LeMat-Bulk.

Unit cell a=3.0097 b=3.0097 c=24.7403 alpha=90.00 beta=90.00 gamma=120.00
Last column: nearest neighbours and their distance in Å.
Fractional coordinates of all 12 atoms:
Mo 0.0000 0.0000 0.2477  3 As 2.65, 3 W 2.74
Mo 0.0000 0.0000 0.7523  3 As 2.65, 3 W 2.74
Mo 0.3333 0.6667 0.4190  3 As 2.65, 3 W 2.74
Mo 0.3333 0.6667 0.9144  3 As 2.65, 3 W 2.74
Mo 0.6667 0.3333 0.0856  3 As 2.65, 3 W 2.74
Mo 0.6667 0.3333 0.5810  3 As 2.65, 3 W 2.74
As 0.0000 0.0000 0.5000  6 Mo 2.65
As 0.3333 0.6667 0.1667  6 Mo 2.65
As 0.6667 0.3333 0.8333  6 Mo 2.65
W 0.0000 0.0000 0.0000  6 Mo 2.74, 6 W 3.01
W 0.3333 0.6667 0.6667  6 Mo 2.74, 6 W 3.01
W 0.6667 0.3333 0.3333  6 Mo 2.74, 6 W 3.01

Results
DFT formation energy (kcal/mol of atoms): 6.59
Crystal system: trigonal

=====

Entry 2:
First-principles (PBE-GGA) data for an optimized crystal structure of NaAc5Pb3, as listed in Alexandria via LeMat-Bulk.

Unit cell a=10.3771 b=10.3771 c=7.1876 alpha=90.00 beta=90.00 gamma=120.00
Last column: nearest neighbours and their distance in Å.
Fractional coordinates of all 18 atoms:
Na 0.0000 0.0000 0.0000  2 Na 3.59, 6 Ac 3.68
Na 0.0000 0.0000 0.5000  2 Na 3.59, 6 Ac 3.68
Ac 0.0000 0.3098 0.2500  5 Pb 3.46-3.62, 2 Na 3.68
Ac 0.0000 0.6902 0.7500  5 Pb 3.46-3.62, 2 Na 3.68
Ac 0.3098 0.0000 0.2500  5 Pb 3.46-3.62, 2 Na 3.68
Ac 0.3098 0.3098 0.7500  5 Pb 3.46-3.62, 2 Na 3.68
Ac 0.3333 0.6667 0.0000  8 Ac 3.59-4.01, 6 Pb 3.81
Ac 0.3333 0.6667 0.5000  8 Ac 3.59-4.01, 6 Pb 3.81
Ac 0.6667 0.3333 0.0000  8 Ac 3.59-4.01, 6 Pb 3.81
Ac 0.6667 0.3333 0.5000  8 Ac 3.59-4.01, 6 Pb 3.81
Ac 0.6902 0.0000 0.7500  5 Pb 3.46-3.62, 2 Na 3.68
Ac 0.6902 0.6902 0.2500  5 Pb 3.46-3.62, 2 Na 3.68
Pb 0.0000 0.3527 0.7500  9 Ac 3.46-3.81
Pb 0.0000 0.6473 0.2500  9 Ac 3.46-3.81
Pb 0.3527 0.0000 0.7500  9 Ac 3.46-3.81
Pb 0.3527 0.3527 0.2500  9 Ac 3.46-3.81
Pb 0.6473 0.0000 0.2500  9 Ac 3.46-3.81
Pb 0.6473 0.6473 0.7500  9 Ac 3.46-3.81

Results
DFT formation energy (kcal/mol of atoms): -8.54
Crystal system: hexagonal

=====

Entry 3:
First-principles (PBE-GGA) data for an optimized crystal structure of CeHoRh2, as listed in Alexandria via LeMat-Bulk.

Unit cell a=5.6745 b=5.5355 c=11.7452 alpha=90.00 beta=108.88 gamma=90.00
Last column: nearest neighbours and their distance in Å.
Fractional coordinates of all 16 atoms:
Ce 0.0818 0.2499 0.1115  6 Rh 2.75-2.89
Ce 0.0818 0.7501 0.6115  6 Rh 2.75-2.89
Ce 0.9182 0.2499 0.3885  6 Rh 2.75-2.89
Ce 0.9182 0.7501 0.8885  6 Rh 2.75-2.89
Ho 0.4429 0.2493 0.8918  6 Rh 2.81-2.97
Ho 0.4429 0.7507 0.3918  6 Rh 2.81-2.97
Ho 0.5571 0.2493 0.6082  6 Rh 2.81-2.97
Ho 0.5571 0.7507 0.1082  6 Rh 2.81-2.97
Rh 0.0794 0.2505 0.6445  3 Ce 2.79-2.85, 3 Ho 2.85-2.97, 1 Rh 2.90
Rh 0.0794 0.7495 0.1445  3 Ce 2.79-2.85, 3 Ho 2.85-2.97, 1 Rh 2.90
Rh 0.3882 0.2509 0.3470  3 Ce 2.75-2.89, 3 Ho 2.81-2.90, 1 Rh 2.94
Rh 0.3882 0.7491 0.8470  3 Ce 2.75-2.89, 3 Ho 2.81-2.90, 1 Rh 2.94
Rh 0.6118 0.2509 0.1530  3 Ce 2.75-2.89, 3 Ho 2.81-2.90, 1 Rh 2.94
Rh 0.6118 0.7491 0.6530  3 Ce 2.75-2.89, 3 Ho 2.81-2.90, 1 Rh 2.94
Rh 0.9206 0.2505 0.8555  3 Ce 2.79-2.85, 3 Ho 2.85-2.97, 1 Rh 2.90
Rh 0.9206 0.7495 0.3555  3 Ce 2.79-2.85, 3 Ho 2.85-2.97, 1 Rh 2.90

Results
DFT formation energy (kcal/mol of atoms): -16.76
Crystal system: monoclinic

=====

Entry 4:
First-principles (PBE-GGA) data for an optimized crystal structure of KTl3P, as listed in Alexandria via LeMat-Bulk.

Unit cell a=5.9838 b=5.9838 c=5.9838 alpha=90.00 beta=90.00 gamma=90.00
Last column: nearest neighbours and their distance in Å.
Fractional coordinates of all 5 atoms:
K 0.0000 0.0000 0.0000  6 Tl 2.99
Tl 0.0000 0.0000 0.5000  2 K 2.99
Tl 0.0000 0.5000 0.0000  2 K 2.99
Tl 0.5000 0.0000 0.0000  2 K 2.99
P 0.5000 0.5000 0.5000  12 Tl 4.23

Results
Offset from the most stable computed form (eV per formula unit): 4.09
DFT formation energy (kcal/mol of atoms): 23.56
Crystal system: cubic

=====

Entry 5:
First-principles (PBE-GGA) data for an optimized crystal structure of Zn2InPd, as listed in Alexandria via LeMat-Bulk.

Unit cell a=4.0123 b=4.0123 c=4.1017 alpha=90.00 beta=90.00 gamma=90.00
Last column: nearest neighbours and their distance in Å.
Fractional coordinates of all 4 atoms:
Zn 0.0000 0.5000 0.0000  4 Zn 2.84, 4 In 2.87, 4 Pd 2.87
Zn 0.5000 0.0000 0.0000  4 Zn 2.84, 4 In 2.87, 4 Pd 2.87
In 0.0000 0.0000 0.5000  4 Pd 2.84, 8 Zn 2.87
Pd 0.5000 0.5000 0.5000  4 In 2.84, 8 Zn 2.87

Results
DFT formation energy (kcal/mol of atoms): -4.62
Crystal system: tetragonal

=====

Entry 6:
First-principles (PBE-GGA) data for an optimized crystal structure of K2TaCd, as listed in Alexandria via LeMat-Bulk.

Unit cell a=3.1412 b=3.1412 c=38.7193 alpha=90.00 beta=90.00 gamma=120.00
Last column: nearest neighbours and their distance in Å.
Fractional coordinates of all 12 atoms:
K 0.0000 0.0000 0.2487  6 K 3.14
K 0.0000 0.0000 0.7513  6 K 3.14
K 0.3333 0.6667 0.4180  6 K 3.14
K 0.3333 0.6667 0.9153  6 K 3.14
K 0.6667 0.3333 0.0847  6 K 3.14
K 0.6667 0.3333 0.5820  6 K 3.14
Ta 0.0000 0.0000 0.5000  6 Ta 3.14
Ta 0.3333 0.6667 0.1667  6 Ta 3.14
Ta 0.6667 0.3333 0.8333  6 Ta 3.14
Cd 0.0000 0.0000 0.0000  6 Cd 3.14
Cd 0.3333 0.6667 0.6667  6 Cd 3.14
Cd 0.6667 0.3333 0.3333  6 Cd 3.14

Results
DFT formation energy (kcal/mol of atoms): 20.03
Crystal system: trigonal

=====

Entry 7:
First-principles (PBE-GGA) data for an optimized crystal structure of InTc2Rh, as listed in Alexandria via LeMat-Bulk.

Unit cell a=9.1358 b=2.8225 c=5.0024 alpha=90.00 beta=99.34 gamma=90.00
Last column: nearest neighbours and their distance in Å.
Fractional coordinates of all 8 atoms:
In 0.0000 0.0000 0.0000  3 Rh 2.67-2.77, 2 In 2.82, 7 Tc 2.83-2.98
In 0.5000 0.5000 0.0000  3 Rh 2.67-2.77, 2 In 2.82, 7 Tc 2.83-2.98
Tc 0.0137 0.5000 0.4944  5 Tc 2.55-2.82, 2 Rh 2.76, 2 In 2.83
Tc 0.2596 0.5000 0.3162  5 Tc 2.55-2.82, 2 Rh 2.73
Tc 0.5137 0.0000 0.4944  5 Tc 2.55-2.82, 2 Rh 2.76, 2 In 2.83
Tc 0.7596 0.0000 0.3162  5 Tc 2.55-2.82, 2 Rh 2.73
Rh 0.2476 0.0000 0.7799  3 In 2.67-2.77, 4 Tc 2.73-2.76, 2 Rh 2.82
Rh 0.7476 0.5000 0.7799  3 In 2.67-2.77, 4 Tc 2.73-2.76, 2 Rh 2.82

Results
DFT formation energy (kcal/mol of atoms): 2.85
Crystal system: monoclinic

=====

Entry 8:
First-principles (PBE-GGA) data for an optimized crystal structure of Hg2O2F, as listed in Alexandria via LeMat-Bulk.

Unit cell a=4.0599 b=4.2224 c=4.7325 alpha=90.00 beta=101.53 gamma=90.00
Last column: nearest neighbours and their distance in Å.
Fractional coordinates of all 5 atoms:
Hg 0.0000 0.0000 0.0000  3 O 2.27-2.38
Hg 0.3046 0.5000 0.5454  3 O 2.12-2.14, 1 F 2.12
O 0.2295 0.0000 0.5036  3 Hg 2.14-2.38
O 0.9550 0.5000 0.8222  3 Hg 2.12-2.27
F 0.5975 0.5000 0.2205  1 Hg 2.12

Results
Formation energy without anion corrections (eV/atom): -0.328
Crystal system: monoclinic